Pr2Tl4Se5: relaxed, PBE.

POSCAR file:
```
Pr2Tl4Se5
1.0
2.1726 1.2543 23.8027
-2.1726 1.2543 23.8027
0.0000 -2.5087 23.8027
Pr Tl Se
2 4 5
direct
0.1407 0.1407 0.1407 Pr
0.8593 0.8593 0.8593 Pr
0.3132 0.3132 0.3132 Tl
0.4134 0.4134 0.4134 Tl
0.5866 0.5866 0.5866 Tl
0.6868 0.6868 0.6868 Tl
0.2138 0.2138 0.2138 Se
0.3749 0.3749 0.3749 Se
0.5000 0.5000 0.5000 Se
0.6251 0.6251 0.6251 Se
0.7862 0.7862 0.7862 Se
```

Computed properties:
formation energy without anion corrections	-0.90	eV/atom
Fermi-level density of states	0.28	states/eV per atom
VASP energy	-46.4	eV/f.u.

=====

PrTl3Se3: relaxed, PBE.

POSCAR file:
```
PrTl3Se3
1.0
8.0501 -4.1836 0.0000
8.0501 4.1836 0.0000
-5.1493 0.0000 7.5116
Pr Tl Se
2 6 6
direct
0.2092 0.2092 0.4592 Pr
0.7908 0.7908 0.5408 Pr
0.2517 0.2517 0.0023 Tl
0.2605 0.7395 0.0000 Tl
0.2597 0.7403 0.5000 Tl
0.7395 0.2605 0.0000 Tl
0.7403 0.2597 0.5000 Tl
0.7483 0.7483 0.9977 Tl
0.0000 0.5001 0.2809 Se
0.0000 0.4999 0.7191 Se
0.0068 0.0068 0.7572 Se
0.5001 0.0000 0.2809 Se
0.4999 0.0000 0.7191 Se
0.9932 0.9932 0.2428 Se
```

Computed properties:
formation energy without anion corrections	-0.88	eV/atom
VASP energy	-28.5	eV/f.u.

=====

Pr3TlSe: relaxed, PBE.

POSCAR file:
```
Pr3TlSe
1.0
9.3642 0.0000 0.0000
0.0000 4.2171 0.0000
0.0000 0.0000 16.1300
Pr Tl Se
12 4 4
direct
0.0245 0.2500 0.1102 Pr
0.1577 0.2500 0.5306 Pr
0.1730 0.7500 0.2905 Pr
0.3270 0.2500 0.7905 Pr
0.3423 0.7500 0.0306 Pr
0.4755 0.7500 0.6102 Pr
0.5245 0.2500 0.3898 Pr
0.6577 0.2500 0.9694 Pr
0.6730 0.7500 0.2095 Pr
0.8270 0.2500 0.7095 Pr
0.8423 0.7500 0.4694 Pr
0.9755 0.7500 0.8898 Pr
0.1068 0.7500 0.6893 Tl
0.3932 0.2500 0.1893 Tl
0.6068 0.7500 0.8107 Tl
0.8932 0.2500 0.3107 Tl
0.1755 0.2500 0.9479 Se
0.3245 0.7500 0.4479 Se
0.6755 0.2500 0.5521 Se
0.8245 0.7500 0.0521 Se
```

Computed properties:
formation energy without anion corrections	-0.87	eV/atom
Fermi-level density of states	0.98	states/eV per atom
VASP energy	-24.6	eV/f.u.

=====

PrTl2Se4: relaxed, PBE.

POSCAR file:
```
PrTl2Se4
1.0
2.1618 -7.3253 0.0000
2.1618 7.3253 0.0000
0.0000 0.0000 13.1130
Pr Tl Se
2 4 8
direct
0.0815 0.9185 0.7500 Pr
0.9185 0.0815 0.2500 Pr
0.3672 0.6328 0.5541 Tl
0.3672 0.6328 0.9459 Tl
0.6328 0.3672 0.0541 Tl
0.6328 0.3672 0.4459 Tl
0.0000 0.0000 0.0000 Se
0.0000 0.0000 0.5000 Se
0.2960 0.7040 0.1520 Se
0.2960 0.7040 0.3480 Se
0.4420 0.5580 0.7500 Se
0.5580 0.4420 0.2500 Se
0.7040 0.2960 0.6520 Se
0.7040 0.2960 0.8480 Se
```

Computed properties:
formation energy without anion corrections	-0.79	eV/atom
Fermi-level density of states	0.38	states/eV per atom
VASP energy	-29.0	eV/f.u.

=====

Pr3TmTl4Se8: relaxed, PBE.

POSCAR file:
```
Pr3TmTl4Se8
1.0
4.3047 2.4853 7.7577
-4.3047 2.4853 7.7577
0.0000 -4.9707 7.7577
Pr Tm Tl Se
3 1 4 8
direct
0.0000 0.5000 0.5000 Pr
0.5000 0.0000 0.5000 Pr
0.5000 0.5000 0.0000 Pr
0.0000 0.0000 0.0000 Tm
0.0000 0.0000 0.5000 Tl
0.0000 0.5000 0.0000 Tl
0.5000 0.0000 0.0000 Tl
0.5000 0.5000 0.5000 Tl
0.2300 0.2300 0.7479 Se
0.2300 0.7479 0.2300 Se
0.2521 0.7700 0.7700 Se
0.2620 0.2620 0.2620 Se
0.7380 0.7380 0.7380 Se
0.7479 0.2300 0.2300 Se
0.7700 0.2521 0.7700 Se
0.7700 0.7700 0.2521 Se
```

Computed properties:
formation energy without anion corrections	-1.37	eV/atom
VASP energy	-78.1	eV/f.u.

=====

PrUTl2Se6: relaxed, PBE.

POSCAR file:
```
PrUTl2Se6
1.0
7.5038 0.0000 0.0000
0.0000 7.6649 0.0000
-7.4628 0.0000 10.9514
Pr U Tl Se
2 2 4 12
direct
0.0000 0.0000 0.0000 Pr
0.0000 0.5000 0.5000 Pr
0.5000 0.0000 0.5000 U
0.5000 0.5000 0.0000 U
0.2450 0.0548 0.7476 Tl
0.2450 0.4452 0.2476 Tl
0.7550 0.5548 0.7524 Tl
0.7550 0.9452 0.2524 Tl
0.1517 0.1724 0.4555 Se
0.1517 0.3276 0.9555 Se
0.2821 0.6994 0.4501 Se
0.2821 0.8006 0.9501 Se
0.3563 0.0341 0.2618 Se
0.3563 0.4659 0.7618 Se
0.6437 0.5341 0.2382 Se
0.6437 0.9659 0.7382 Se
0.7179 0.1994 0.0499 Se
0.7179 0.3006 0.5499 Se
0.8483 0.6724 0.0445 Se
0.8483 0.8276 0.5445 Se
```

Computed properties:
formation energy without anion corrections	-0.88	eV/atom
Fermi-level density of states	0.86	states/eV per atom
VASP energy	-50.5	eV/f.u.

=====

Pr3UTl3Se8: relaxed, PBE.

POSCAR file:
```
Pr3UTl3Se8
1.0
4.3099 2.4883 7.8000
-4.3099 2.4883 7.8000
0.0000 -4.9767 7.8000
Pr U Tl Se
3 1 3 8
direct
0.0000 0.5000 0.5000 Pr
0.5000 0.0000 0.5000 Pr
0.5000 0.5000 0.0000 Pr
0.0000 0.0000 0.0000 U
0.0000 0.0000 0.5000 Tl
0.0000 0.5000 0.0000 Tl
0.5000 0.0000 0.0000 Tl
0.2269 0.2269 0.7498 Se
0.2269 0.7498 0.2269 Se
0.2502 0.7731 0.7731 Se
0.2624 0.2624 0.2624 Se
0.7376 0.7376 0.7376 Se
0.7498 0.2269 0.2269 Se
0.7731 0.2502 0.7731 Se
0.7731 0.7731 0.2502 Se
```

Computed properties:
formation energy without anion corrections	-1.32	eV/atom
Fermi-level density of states	0.39	states/eV per atom
VASP energy	-80.5	eV/f.u.

=====

PrU2Tl3Se6: relaxed, PBE.

POSCAR file:
```
PrU2Tl3Se6
1.0
3.6709 -6.3563 0.0000
3.6709 6.3563 0.0000
-2.4460 0.0000 7.8280
Pr U Tl Se
1 2 3 6
direct
0.0000 0.0000 0.0000 Pr
0.3328 0.6672 0.0000 U
0.6672 0.3328 0.0000 U
0.1640 0.8360 0.5000 Tl
0.5000 0.5000 0.5000 Tl
0.8360 0.1640 0.5000 Tl
0.0699 0.4139 0.2088 Se
0.2758 0.2758 0.7939 Se
0.4139 0.0699 0.2088 Se
0.5861 0.9301 0.7912 Se
0.7242 0.7242 0.2061 Se
0.9301 0.5861 0.7912 Se
```

Computed properties:
formation energy without anion corrections	-1.03	eV/atom
Fermi-level density of states	0.84	states/eV per atom
VASP energy	-67.8	eV/f.u.

=====

Pr3Tl4VSe8: relaxed, PBE.

POSCAR file:
```
Pr3Tl4VSe8
1.0
4.2193 2.4360 7.7294
-4.2193 2.4360 7.7294
0.0000 -4.8721 7.7294
Pr Tl V Se
3 4 1 8
direct
0.0000 0.5000 0.5000 Pr
0.5000 0.0000 0.5000 Pr
0.5000 0.5000 0.0000 Pr
0.0000 0.0000 0.5000 Tl
0.0000 0.5000 0.0000 Tl
0.5000 0.0000 0.0000 Tl
0.5000 0.5000 0.5000 Tl
0.0000 0.0000 0.0000 V
0.2193 0.2193 0.7638 Se
0.2193 0.7638 0.2193 Se
0.2362 0.7807 0.7807 Se
0.2607 0.2607 0.2607 Se
0.7393 0.7393 0.7393 Se
0.7638 0.2193 0.2193 Se
0.7807 0.2362 0.7807 Se
0.7807 0.7807 0.2362 Se
```

Computed properties:
formation energy without anion corrections	-1.11	eV/atom
Fermi-level density of states	0.48	states/eV per atom
VASP energy	-78.6	eV/f.u.

=====

Pr2YTl3Se6: relaxed, PBE.

POSCAR file:
```
Pr2YTl3Se6
1.0
3.7272 -6.4528 0.0000
3.7272 6.4528 0.0000
-2.4846 0.0000 7.7588
Pr Y Tl Se
2 1 3 6
direct
0.1665 0.8335 0.0000 Pr
0.8335 0.1665 0.0000 Pr
0.5000 0.5000 0.0000 Y
0.0000 0.0000 0.5000 Tl
0.3318 0.6682 0.5000 Tl
0.6682 0.3318 0.5000 Tl
0.1066 0.4303 0.7910 Se
0.2466 0.2466 0.2112 Se
0.4303 0.1066 0.7910 Se
0.5697 0.8934 0.2090 Se
0.7534 0.7534 0.7888 Se
0.8934 0.5697 0.2090 Se
```

Computed properties:
formation energy without anion corrections	-1.38	eV/atom
VASP energy	-60.6	eV/f.u.

=====

PrY2Tl3Se6: relaxed, PBE.

POSCAR file:
```
PrY2Tl3Se6
1.0
3.6782 -6.3699 0.0000
3.6782 6.3699 0.0000
-2.4509 0.0000 7.7636
Pr Y Tl Se
1 2 3 6
direct
0.0000 0.0000 0.0000 Pr
0.3332 0.6668 0.0000 Y
0.6668 0.3332 0.0000 Y
0.1646 0.8354 0.5000 Tl
0.5000 0.5000 0.5000 Tl
0.8354 0.1646 0.5000 Tl
0.0693 0.4123 0.2080 Se
0.2745 0.2745 0.7943 Se
0.4123 0.0693 0.2080 Se
0.5877 0.9307 0.7920 Se
0.7255 0.7255 0.2057 Se
0.9307 0.5877 0.7920 Se
```

Computed properties:
formation energy without anion corrections	-1.39	eV/atom
VASP energy	-62.4	eV/f.u.

=====

Pr3YTl4Se8: relaxed, PBE.

POSCAR file:
```
Pr3YTl4Se8
1.0
4.3177 2.4928 7.7541
-4.3177 2.4928 7.7541
0.0000 -4.9856 7.7541
Pr Y Tl Se
3 1 4 8
direct
0.0000 0.5000 0.5000 Pr
0.5000 0.0000 0.5000 Pr
0.5000 0.5000 0.0000 Pr
0.0000 0.0000 0.0000 Y
0.0000 0.0000 0.5000 Tl
0.0000 0.5000 0.0000 Tl
0.5000 0.0000 0.0000 Tl
0.5000 0.5000 0.5000 Tl
0.2322 0.2322 0.7451 Se
0.2322 0.7451 0.2322 Se
0.2549 0.7678 0.7678 Se
0.2621 0.2621 0.2621 Se
0.7379 0.7379 0.7379 Se
0.7451 0.2322 0.2322 Se
0.7678 0.2549 0.7678 Se
0.7678 0.7678 0.2549 Se
```

Computed properties:
formation energy without anion corrections	-1.38	eV/atom
VASP energy	-80.2	eV/f.u.

=====

PrY3Tl4Se8: relaxed, PBE.

POSCAR file:
```
PrY3Tl4Se8
1.0
4.2335 2.4442 7.7647
-4.2335 2.4442 7.7647
0.0000 -4.8884 7.7647
Pr Y Tl Se
1 3 4 8
direct
0.0000 0.0000 0.0000 Pr
0.0000 0.5000 0.5000 Y
0.5000 0.0000 0.5000 Y
0.5000 0.5000 0.0000 Y
0.0000 0.0000 0.5000 Tl
0.0000 0.5000 0.0000 Tl
0.5000 0.0000 0.0000 Tl
0.5000 0.5000 0.5000 Tl
0.2401 0.2401 0.7274 Se
0.2401 0.7274 0.2401 Se
0.2654 0.2654 0.2654 Se
0.2726 0.7599 0.7599 Se
0.7274 0.2401 0.2401 Se
0.7346 0.7346 0.7346 Se
0.7599 0.2726 0.7599 Se
0.7599 0.7599 0.2726 Se
```

Computed properties:
formation energy without anion corrections	-1.39	eV/atom
VASP energy	-83.7	eV/f.u.

=====

Pr2Tl3ZnSe6: relaxed, PBE.

POSCAR file:
```
Pr2Tl3ZnSe6
1.0
3.7019 -6.3548 0.0000
3.7019 6.3548 0.0000
-2.6219 0.0000 7.4674
Pr Tl Zn Se
2 3 1 6
direct
0.1640 0.8360 0.0000 Pr
0.8360 0.1640 0.0000 Pr
0.0000 0.0000 0.5000 Tl
0.3254 0.6746 0.5000 Tl
0.6746 0.3254 0.5000 Tl
0.5000 0.5000 0.0000 Zn
0.1274 0.4303 0.7978 Se
0.2467 0.2467 0.2297 Se
0.4303 0.1274 0.7978 Se
0.5697 0.8726 0.2022 Se
0.7533 0.7533 0.7703 Se
0.8726 0.5697 0.2022 Se
```

Computed properties:
formation energy without anion corrections	-0.96	eV/atom
Fermi-level density of states	0.55	states/eV per atom
VASP energy	-50.4	eV/f.u.

=====

Pr3ZrTl3Se8: relaxed, PBE.

POSCAR file:
```
Pr3ZrTl3Se8
1.0
4.2470 2.4520 7.8292
-4.2470 2.4520 7.8292
0.0000 -4.9040 7.8292
Pr Zr Tl Se
3 1 3 8
direct
0.0000 0.5000 0.5000 Pr
0.5000 0.0000 0.5000 Pr
0.5000 0.5000 0.0000 Pr
0.0000 0.0000 0.0000 Zr
0.0000 0.0000 0.5000 Tl
0.0000 0.5000 0.0000 Tl
0.5000 0.0000 0.0000 Tl
0.2213 0.2213 0.7589 Se
0.2213 0.7589 0.2213 Se
0.2411 0.7787 0.7787 Se
0.2619 0.2619 0.2619 Se
0.7381 0.7381 0.7381 Se
0.7589 0.2213 0.2213 Se
0.7787 0.2411 0.7787 Se
0.7787 0.7787 0.2411 Se
```

Computed properties:
formation energy without anion corrections	-1.36	eV/atom
VASP energy	-78.2	eV/f.u.

=====

Pr3ZrTl4Se8: relaxed, PBE.

POSCAR file:
```
Pr3ZrTl4Se8
1.0
4.2307 2.4426 7.8093
-4.2307 2.4426 7.8093
0.0000 -4.8852 7.8093
Pr Zr Tl Se
3 1 4 8
direct
0.0000 0.5000 0.5000 Pr
0.5000 0.0000 0.5000 Pr
0.5000 0.5000 0.0000 Pr
0.0000 0.0000 0.0000 Zr
0.0000 0.0000 0.5000 Tl
0.0000 0.5000 0.0000 Tl
0.5000 0.0000 0.0000 Tl
0.5000 0.5000 0.5000 Tl
0.2242 0.2242 0.7596 Se
0.2242 0.7596 0.2242 Se
0.2404 0.7758 0.7758 Se
0.2604 0.2604 0.2604 Se
0.7396 0.7396 0.7396 Se
0.7596 0.2242 0.2242 Se
0.7758 0.2404 0.7758 Se
0.7758 0.7758 0.2404 Se
```

Computed properties:
formation energy without anion corrections	-1.25	eV/atom
Fermi-level density of states	0.31	states/eV per atom
VASP energy	-80.2	eV/f.u.

=====

Pr2ZrTl3Se6: relaxed, PBE.

POSCAR file:
```
Pr2ZrTl3Se6
1.0
3.6282 -6.2739 0.0000
3.6282 6.2739 0.0000
-2.4169 0.0000 7.8286
Pr Zr Tl Se
2 1 3 6
direct
0.1658 0.8342 0.0000 Pr
0.8342 0.1658 0.0000 Pr
0.5000 0.5000 0.0000 Zr
0.0000 0.0000 0.5000 Tl
0.3271 0.6729 0.5000 Tl
0.6729 0.3271 0.5000 Tl
0.1219 0.4310 0.7919 Se
0.2627 0.2627 0.2147 Se
0.4310 0.1219 0.7919 Se
0.5690 0.8781 0.2081 Se
0.7373 0.7373 0.7853 Se
0.8781 0.5690 0.2081 Se
```

Computed properties:
formation energy without anion corrections	-1.21	eV/atom
Fermi-level density of states	0.45	states/eV per atom
VASP energy	-60.6	eV/f.u.

=====

Pr5TmSe8: relaxed, PBE.

POSCAR file:
```
Pr5TmSe8
1.0
-4.4533 4.4533 4.5211
4.4533 -4.4533 4.5211
4.4533 4.4533 -4.5211
Pr Tm Se
5 1 8
direct
0.0000 0.0000 0.0000 Pr
0.1261 0.4943 0.8666 Pr
0.5057 0.3723 0.6318 Pr
0.6277 0.2595 0.1334 Pr
0.7405 0.8739 0.3682 Pr
0.2500 0.7500 0.5000 Tm
0.0275 0.2763 0.4015 Se
0.2263 0.1105 0.7426 Se
0.3679 0.4837 0.2574 Se
0.3739 0.9725 0.2488 Se
0.5163 0.7737 0.8842 Se
0.7237 0.1252 0.7512 Se
0.8748 0.6261 0.5985 Se
0.8895 0.6321 0.1158 Se
```

Computed properties:
formation energy without anion corrections	-1.83	eV/atom
Fermi-level density of states	0.68	states/eV per atom
VASP energy	-81.9	eV/f.u.